# Pu5NpS6 (PBE-GGA, relaxed)
data_Pu5NpS6
_chemical_formula_sum 'Pu10 Np2 S12'
_cell_length_a 6.8326
_cell_length_b 11.8449
_cell_length_c 6.8323
_cell_angle_alpha 90.00
_cell_angle_beta 109.52
_cell_angle_gamma 90.00
_symmetry_space_group_name_H-M 'C 1 2/m 1'
_symmetry_Int_Tables_number 12
_symmetry_space_group_name_Hall '-C 2y'
loop_
_atom_site_label
_atom_site_type_symbol
_atom_site_fract_x
_atom_site_fract_y
_atom_site_fract_z
Pu1 Pu 0.0000 0.0000 0.0000
Pu2 Pu 0.0000 0.1662 0.5000
Pu3 Pu 0.0000 0.3326 0.0000
Np1 Np 0.0000 0.5000 0.5000
S1 S 0.2463 0.5000 0.2523
S2 S 0.2468 0.3329 0.7467
# - E_form (uncorrected): -20.03 eV/f.u.
# - Density of states at the Fermi level: 51.129 states/eV/f.u.
# - Magnetic moment: 20.520 μB/f.u.


# La2MgGaC (PBE-GGA, relaxed)
data_La2MgGaC
_chemical_formula_sum 'La2 Mg1 Ga1 C1'
_cell_length_a 5.2612
_cell_length_b 5.2612
_cell_length_c 4.3623
_cell_angle_alpha 90.00
_cell_angle_beta 90.00
_cell_angle_gamma 90.00
_symmetry_space_group_name_H-M 'P 4/m m m'
_symmetry_Int_Tables_number 123
_symmetry_space_group_name_Hall '-P 4 2'
loop_
_atom_site_label
_atom_site_type_symbol
_atom_site_fract_x
_atom_site_fract_y
_atom_site_fract_z
La1 La 0.0000 0.5000 0.0000
Mg1 Mg 0.0000 0.0000 0.5000
Ga1 Ga 0.5000 0.5000 0.5000
C1 C 0.0000 0.0000 0.0000
# - Density of states at the Fermi level: 5.415 states/eV/f.u.
# - Formation energy: -199 meV/atom
# - Excess energy over the best structure of this formula in the dataset: 0 meV/atom
# - Magnetic moment: 0.000 μB/f.u.


# K2ScRu (PBE-GGA, relaxed)
data_K2ScRu
_chemical_formula_sum 'K8 Sc4 Ru4'
_cell_length_a 4.0651
_cell_length_b 4.0651
_cell_length_c 25.1982
_cell_angle_alpha 90.00
_cell_angle_beta 90.00
_cell_angle_gamma 90.00
_symmetry_space_group_name_H-M 'I -4 2 d'
_symmetry_Int_Tables_number 122
_symmetry_space_group_name_Hall 'I -4 2bw'
loop_
_atom_site_label
_atom_site_type_symbol
_atom_site_fract_x
_atom_site_fract_y
_atom_site_fract_z
K1 K 0.2444 0.2500 0.1250
Sc1 Sc 0.0000 0.0000 0.5000
Ru1 Ru 0.0000 0.0000 0.0000
# - Density of states at the Fermi level: 6.624 states/eV/f.u.
# - Formation energy: 908 meV/atom
# - Excess energy over the best structure of this formula in the dataset: 626 meV/atom
# - Magnetic moment: 0.000 μB/f.u.


# SmTeAu (PBE-GGA, relaxed)
data_SmTeAu
_chemical_formula_sum 'Sm6 Te6 Au6'
_cell_length_a 5.3146
_cell_length_b 5.3146
_cell_length_c 22.7971
_cell_angle_alpha 90.00
_cell_angle_beta 90.00
_cell_angle_gamma 120.00
_symmetry_space_group_name_H-M 'R -3 m'
_symmetry_Int_Tables_number 166
_symmetry_space_group_name_Hall '-R 3 2"'
loop_
_atom_site_label
_atom_site_type_symbol
_atom_site_fract_x
_atom_site_fract_y
_atom_site_fract_z
Sm1 Sm 0.0000 0.0000 0.2445
Te1 Te 0.0000 0.0000 0.3876
Au1 Au 0.0000 0.0000 0.1142
# - E_form (uncorrected): -2.66 eV/f.u.
# - Magnetic moment: 0.000 μB/f.u.


# ScCoPd2 (PBE-GGA, relaxed)
data_ScCoPd2
_chemical_formula_sum 'Sc4 Co4 Pd8'
_cell_length_a 3.8627
_cell_length_b 3.8627
_cell_length_c 17.7943
_cell_angle_alpha 90.00
_cell_angle_beta 90.00
_cell_angle_gamma 90.00
_symmetry_space_group_name_H-M 'I -4 2 d'
_symmetry_Int_Tables_number 122
_symmetry_space_group_name_Hall 'I -4 2bw'
loop_
_atom_site_label
_atom_site_type_symbol
_atom_site_fract_x
_atom_site_fract_y
_atom_site_fract_z
Sc1 Sc 0.0000 0.0000 0.0000
Co1 Co 0.0000 0.0000 0.5000
Pd1 Pd 0.2369 0.2500 0.6250
# - Density of states at the Fermi level: 4.797 states/eV/f.u.
# - Formation energy: -132 meV/atom
# - Magnetic moment: 1.225 μB/f.u.


# ZrTlF2 (PBE-GGA, relaxed)
data_ZrTlF2
_chemical_formula_sum 'Zr3 Tl3 F6'
_cell_length_a 3.0295
_cell_length_b 3.0295
_cell_length_c 26.0641
_cell_angle_alpha 90.00
_cell_angle_beta 90.00
_cell_angle_gamma 120.00
_symmetry_space_group_name_H-M 'R -3 m'
_symmetry_Int_Tables_number 166
_symmetry_space_group_name_Hall '-R 3 2"'
loop_
_atom_site_label
_atom_site_type_symbol
_atom_site_fract_x
_atom_site_fract_y
_atom_site_fract_z
Zr1 Zr 0.0000 0.0000 0.0000
Tl1 Tl 0.0000 0.0000 0.5000
F1 F 0.0000 0.0000 0.3918
# - E_form (uncorrected): -7.57 eV/f.u.
# - Density of states at the Fermi level: 1.159 states/eV/f.u.
# - Excess energy over the best structure of this formula in the dataset: 0 meV/atom
# - Magnetic moment: 0.000 μB/f.u.


# HoTm2Ir2 (PBE-GGA, relaxed)
data_HoTm2Ir2
_chemical_formula_sum 'Ho1 Tm2 Ir2'
_cell_length_a 4.7272
_cell_length_b 4.7272
_cell_length_c 5.9449
_cell_angle_alpha 90.00
_cell_angle_beta 90.00
_cell_angle_gamma 120.00
_symmetry_space_group_name_H-M 'P -3 m 1'
_symmetry_Int_Tables_number 164
_symmetry_space_group_name_Hall '-P 3 2"'
loop_
_atom_site_label
_atom_site_type_symbol
_atom_site_fract_x
_atom_site_fract_y
_atom_site_fract_z
Ho1 Ho 0.0000 0.0000 0.0000
Tm1 Tm 0.3333 0.6667 0.6629
Ir1 Ir 0.3333 0.6667 0.1722
# - Density of states at the Fermi level: 2.808 states/eV/f.u.
# - Formation energy: -843 meV/atom
# - Excess energy over the best structure of this formula in the dataset: 0 meV/atom
# - Magnetic moment: 0.000 μB/f.u.


# Sr3NdZn4 (PBE-GGA, relaxed)
data_Sr3NdZn4
_chemical_formula_sum 'Sr3 Nd1 Zn4'
_cell_length_a 3.8295
_cell_length_b 3.8295
_cell_length_c 15.5213
_cell_angle_alpha 90.00
_cell_angle_beta 90.00
_cell_angle_gamma 90.00
_symmetry_space_group_name_H-M 'P 4/m m m'
_symmetry_Int_Tables_number 123
_symmetry_space_group_name_Hall '-P 4 2'
loop_
_atom_site_label
_atom_site_type_symbol
_atom_site_fract_x
_atom_site_fract_y
_atom_site_fract_z
Sr1 Sr 0.0000 0.0000 0.0000
Sr2 Sr 0.0000 0.0000 0.2575
Nd1 Nd 0.0000 0.0000 0.5000
Zn1 Zn 0.5000 0.5000 0.1286
Zn2 Zn 0.5000 0.5000 0.3930
# - Density of states at the Fermi level: 5.628 states/eV/f.u.
# - Formation energy: -210 meV/atom
# - Magnetic moment: 0.124 μB/f.u.


# SiBiTe3 (PBE-GGA, relaxed)
data_SiBiTe3
_chemical_formula_sum 'Si4 Bi4 Te12'
_cell_length_a 9.1598
_cell_length_b 7.7760
_cell_length_c 8.1503
_cell_angle_alpha 90.00
_cell_angle_beta 90.00
_cell_angle_gamma 90.00
_symmetry_space_group_name_H-M 'I m a 2'
_symmetry_Int_Tables_number 46
_symmetry_space_group_name_Hall 'I 2 -2a'
loop_
_atom_site_label
_atom_site_type_symbol
_atom_site_fract_x
_atom_site_fract_y
_atom_site_fract_z
Si1 Si 0.2500 0.2503 0.0000
Bi1 Bi 0.2500 0.5232 0.2492
Te1 Te 0.0491 0.7503 0.0005
Te2 Te 0.2500 0.0154 0.2489
# - E_form (uncorrected): 1.11 eV/f.u.
# - Density of states at the Fermi level: 3.268 states/eV/f.u.
# - Excess energy over the best structure of this formula in the dataset: 0 meV/atom
# - Magnetic moment: 0.000 μB/f.u.


# Tl2BMoCl (PBE-GGA, relaxed)
data_Tl2BMoCl
_chemical_formula_sum 'Tl2 B1 Mo1 Cl1'
_cell_length_a 4.9918
_cell_length_b 4.9918
_cell_length_c 4.6806
_cell_angle_alpha 90.00
_cell_angle_beta 90.00
_cell_angle_gamma 90.00
_symmetry_space_group_name_H-M 'P 4/m m m'
_symmetry_Int_Tables_number 123
_symmetry_space_group_name_Hall '-P 4 2'
loop_
_atom_site_label
_atom_site_type_symbol
_atom_site_fract_x
_atom_site_fract_y
_atom_site_fract_z
Tl1 Tl 0.0000 0.5000 0.0000
B1 B 0.0000 0.0000 0.0000
Mo1 Mo 0.5000 0.5000 0.5000
Cl1 Cl 0.0000 0.0000 0.5000
# - E_form (uncorrected): 6.44 eV/f.u.
# - Density of states at the Fermi level: 2.993 states/eV/f.u.
# - Magnetic moment: 4.862 μB/f.u.


# RbTc2PO8 (PBE-GGA, relaxed)
data_RbTc2PO8
_chemical_formula_sum 'Rb3 Tc6 P3 O24'
_cell_length_a 5.3917
_cell_length_b 5.3917
_cell_length_c 26.1459
_cell_angle_alpha 90.00
_cell_angle_beta 90.00
_cell_angle_gamma 120.00
_symmetry_space_group_name_H-M 'R -3 m'
_symmetry_Int_Tables_number 166
_symmetry_space_group_name_Hall '-R 3 2"'
loop_
_atom_site_label
_atom_site_type_symbol
_atom_site_fract_x
_atom_site_fract_y
_atom_site_fract_z
Rb1 Rb 0.0000 0.0000 0.0000
Tc1 Tc 0.0000 0.0000 0.2300
P1 P 0.0000 0.0000 0.5000
O1 O 0.0000 0.0000 0.2969
O2 O 0.0418 0.5209 0.1277
# - E_form (uncorrected): -15.58 eV/f.u.
# - Density of states at the Fermi level: 5.202 states/eV/f.u.
# - Magnetic moment: 2.287 μB/f.u.


# LaEu2Mg (PBE-GGA, relaxed)
data_LaEu2Mg
_chemical_formula_sum 'La1 Eu2 Mg1'
_cell_length_a 5.1999
_cell_length_b 5.1999
_cell_length_c 5.2741
_cell_angle_alpha 90.00
_cell_angle_beta 90.00
_cell_angle_gamma 90.00
_symmetry_space_group_name_H-M 'P 4/m m m'
_symmetry_Int_Tables_number 123
_symmetry_space_group_name_Hall '-P 4 2'
loop_
_atom_site_label
_atom_site_type_symbol
_atom_site_fract_x
_atom_site_fract_y
_atom_site_fract_z
La1 La 0.0000 0.0000 0.0000
Eu1 Eu 0.0000 0.5000 0.5000
Mg1 Mg 0.5000 0.5000 0.0000
# - Density of states at the Fermi level: 6.067 states/eV/f.u.
# - Formation energy: 39 meV/atom
# - Excess energy over the best structure of this formula in the dataset: 24 meV/atom
# - Magnetic moment: 15.730 μB/f.u.


# Sm5Y2Ho5 (PBE-GGA, relaxed)
data_Sm5Y2Ho5
_chemical_formula_sum 'Sm5 Y2 Ho5'
_cell_length_a 5.2130
_cell_length_b 5.9986
_cell_length_c 14.4485
_cell_angle_alpha 79.44
_cell_angle_beta 89.96
_cell_angle_gamma 64.26
_symmetry_space_group_name_H-M 'P -1'
_symmetry_Int_Tables_number 2
_symmetry_space_group_name_Hall '-P 1'
loop_
_atom_site_label
_atom_site_type_symbol
_atom_site_fract_x
_atom_site_fract_y
_atom_site_fract_z
Sm1 Sm 0.0000 0.0000 0.0000
Sm2 Sm 0.2195 0.5610 0.5769
Sm3 Sm 0.3370 0.3253 0.8296
Y1 Y 0.3552 0.2905 0.2867
Ho1 Ho 0.0539 0.8930 0.3119
Ho2 Ho 0.3250 0.3497 0.0636
Ho3 Ho 0.5000 0.0000 0.5000
# - Density of states at the Fermi level: 17.787 states/eV/f.u.
# - Formation energy: 173 meV/atom
# - Magnetic moment: 0.000 μB/f.u.


# LaYHoSc (PBE-GGA, relaxed)
data_LaYHoSc
_chemical_formula_sum 'La4 Y4 Ho4 Sc4'
_cell_length_a 7.9469
_cell_length_b 7.9469
_cell_length_c 7.9469
_cell_angle_alpha 90.00
_cell_angle_beta 90.00
_cell_angle_gamma 90.00
_symmetry_space_group_name_H-M 'F -4 3 m'
_symmetry_Int_Tables_number 216
_symmetry_space_group_name_Hall 'F -4 2 3'
loop_
_atom_site_label
_atom_site_type_symbol
_atom_site_fract_x
_atom_site_fract_y
_atom_site_fract_z
La1 La 0.0000 0.0000 0.0000
Y1 Y 0.0000 0.0000 0.5000
Ho1 Ho 0.2500 0.2500 0.2500
Sc1 Sc 0.2500 0.2500 0.7500
# - Density of states at the Fermi level: 6.256 states/eV/f.u.
# - Formation energy: 103 meV/atom
# - Excess energy over the best structure of this formula in the dataset: 53 meV/atom
# - Magnetic moment: 0.014 μB/f.u.


# LiMn2Fe (PBE-GGA, relaxed)
data_LiMn2Fe
_chemical_formula_sum 'Li2 Mn4 Fe2'
_cell_length_a 2.6656
_cell_length_b 3.9733
_cell_length_c 8.1156
_cell_angle_alpha 90.00
_cell_angle_beta 90.00
_cell_angle_gamma 90.00
_symmetry_space_group_name_H-M 'I m m m'
_symmetry_Int_Tables_number 71
_symmetry_space_group_name_Hall '-I 2 2'
loop_
_atom_site_label
_atom_site_type_symbol
_atom_site_fract_x
_atom_site_fract_y
_atom_site_fract_z
Li1 Li 0.0000 0.0000 0.0000
Mn1 Mn 0.0000 0.5000 0.2405
Fe1 Fe 0.0000 0.0000 0.5000
# - Density of states at the Fermi level: 4.147 states/eV/f.u.
# - Formation energy: 302 meV/atom
# - Excess energy over the best structure of this formula in the dataset: 79 meV/atom
# - Magnetic moment: 0.143 μB/f.u.


# Ce3Er3PuS8 (PBE-GGA, relaxed)
data_Ce3Er3PuS8
_chemical_formula_sum 'Ce9 Er9 Pu3 S24'
_cell_length_a 7.8514
_cell_length_b 7.8514
_cell_length_c 19.5633
_cell_angle_alpha 90.00
_cell_angle_beta 90.00
_cell_angle_gamma 120.00
_symmetry_space_group_name_H-M 'R -3 m'
_symmetry_Int_Tables_number 166
_symmetry_space_group_name_Hall '-R 3 2"'
loop_
_atom_site_label
_atom_site_type_symbol
_atom_site_fract_x
_atom_site_fract_y
_atom_site_fract_z
Ce1 Ce 0.0000 0.5000 0.0000
Er1 Er 0.0000 0.5000 0.5000
Pu1 Pu 0.0000 0.0000 0.5000
S1 S 0.0000 0.0000 0.2450
S2 S 0.0076 0.5038 0.7531
# - E_form (uncorrected): -29.82 eV/f.u.
# - Density of states at the Fermi level: 22.204 states/eV/f.u.
# - Magnetic moment: 9.185 μB/f.u.


# BeCdN2 (PBE-GGA, relaxed)
data_BeCdN2
_chemical_formula_sum 'Be4 Cd4 N8'
_cell_length_a 4.1255
_cell_length_b 4.1255
_cell_length_c 10.3146
_cell_angle_alpha 90.00
_cell_angle_beta 90.00
_cell_angle_gamma 90.00
_symmetry_space_group_name_H-M 'I -4 2 d'
_symmetry_Int_Tables_number 122
_symmetry_space_group_name_Hall 'I -4 2bw'
loop_
_atom_site_label
_atom_site_type_symbol
_atom_site_fract_x
_atom_site_fract_y
_atom_site_fract_z
Be1 Be 0.0000 0.0000 0.0000
Cd1 Cd 0.0000 0.0000 0.5000
N1 N 0.0921 0.2500 0.1250
# - E_form (uncorrected): 1.52 eV/f.u.
# - Density of states at the Fermi level: 0.785 states/eV/f.u.
# - Excess energy over the best structure of this formula in the dataset: 0 meV/atom
# - Magnetic moment: 0.000 μB/f.u.


# BaCl (PBE-GGA, relaxed)
data_BaCl
_chemical_formula_sum 'Ba16 Cl16'
_cell_length_a 10.3464
_cell_length_b 10.3672
_cell_length_c 14.2452
_cell_angle_alpha 90.00
_cell_angle_beta 90.00
_cell_angle_gamma 90.00
_symmetry_space_group_name_H-M 'F d d d'
_symmetry_Int_Tables_number 70
loop_
_symmetry_equiv_pos_as_xyz
'x,y,z'
'-x,-y,-z'
'-x+1/4,-y+1/4,z'
'x+1/4,y+1/4,-z'
'x,-y+1/4,-z+1/4'
'-x,y+1/4,z+1/4'
'-x+1/4,y,-z+1/4'
'x+1/4,-y,z+1/4'
'x,y+1/2,z+1/2'
'-x,-y+1/2,-z+1/2'
'-x+1/4,-y+3/4,z+1/2'
'x+1/4,y+3/4,-z+1/2'
'x,-y+3/4,-z+3/4'
'-x,y+3/4,z+3/4'
'-x+1/4,y+1/2,-z+3/4'
'x+1/4,-y+1/2,z+3/4'
'x+1/2,y,z+1/2'
'-x+1/2,-y,-z+1/2'
'-x+3/4,-y+1/4,z+1/2'
'x+3/4,y+1/4,-z+1/2'
'x+1/2,-y+1/4,-z+3/4'
'-x+1/2,y+1/4,z+3/4'
'-x+3/4,y,-z+3/4'
'x+3/4,-y,z+3/4'
'x+1/2,y+1/2,z'
'-x+1/2,-y+1/2,-z'
'-x+3/4,-y+3/4,z'
'x+3/4,y+3/4,-z'
'x+1/2,-y+3/4,-z+1/4'
'-x+1/2,y+3/4,z+1/4'
'-x+3/4,y+1/2,-z+1/4'
'x+3/4,-y+1/2,z+1/4'
loop_
_atom_site_label
_atom_site_type_symbol
_atom_site_fract_x
_atom_site_fract_y
_atom_site_fract_z
Ba1 Ba 0.1221 0.3750 0.3750
Cl1 Cl 0.1250 0.1250 0.4961
# - E_form (uncorrected): -3.56 eV/f.u.
# - Density of states at the Fermi level: 1.134 states/eV/f.u.
# - Magnetic moment: 0.000 μB/f.u.


# PuO2F6 (PBE-GGA, relaxed)
data_PuO2F6
_chemical_formula_sum 'Pu4 O8 F24'
_cell_length_a 18.0325
_cell_length_b 5.5742
_cell_length_c 5.2129
_cell_angle_alpha 90.00
_cell_angle_beta 92.63
_cell_angle_gamma 90.00
_symmetry_space_group_name_H-M 'C 1 2/c 1'
_symmetry_Int_Tables_number 15
_symmetry_space_group_name_Hall '-C 2yc'
loop_
_atom_site_label
_atom_site_type_symbol
_atom_site_fract_x
_atom_site_fract_y
_atom_site_fract_z
Pu1 Pu 0.0000 0.2494 0.2500
O1 O 0.2203 0.0547 0.2684
F1 F 0.0636 0.0547 0.9495
F2 F 0.0649 0.4502 0.5590
F3 F 0.1782 0.2603 0.2803
# - E_form (uncorrected): -14.64 eV/f.u.
# - Density of states at the Fermi level: 9.067 states/eV/f.u.
# - Magnetic moment: 5.921 μB/f.u.


# ZrIr3 (PBE-GGA, relaxed)
data_ZrIr3
_chemical_formula_sum 'Zr2 Ir6'
_cell_length_a 5.1071
_cell_length_b 5.1071
_cell_length_c 5.1071
_cell_angle_alpha 90.00
_cell_angle_beta 90.00
_cell_angle_gamma 90.00
_symmetry_space_group_name_H-M 'P m -3 n'
_symmetry_Int_Tables_number 223
_symmetry_space_group_name_Hall '-P 4n 2 3'
loop_
_atom_site_label
_atom_site_type_symbol
_atom_site_fract_x
_atom_site_fract_y
_atom_site_fract_z
Zr1 Zr 0.0000 0.0000 0.0000
Ir1 Ir 0.0000 0.2500 0.5000
# - Density of states at the Fermi level: 6.023 states/eV/f.u.
# - Formation energy: -134 meV/atom
# - Magnetic moment: 0.000 μB/f.u.